Entry 1:
! PBE PmMg2GaNi2, relaxed; values from VASP
&SYSTEM
  ibrav = 0, nat = 6, ntyp = 4
/
ATOMIC_SPECIES
Pm 145.00 Pm.upf
Mg 24.30 Mg.upf
Ga 69.72 Ga.upf
Ni 58.69 Ni.upf
ATOMIC_POSITIONS angstrom
Pm -0.860 -0.490 3.351
Mg 2.448 0.404 2.509
Mg -0.112 2.760 2.196
Ga 0.000 0.000 0.000
Ni 0.896 1.517 4.095
Ni 1.440 1.646 0.610
CELL_PARAMETERS angstrom
-3.421 1.866 3.038
1.701 -2.846 3.663
4.056 4.144 -1.996
! Calculated formation energy ... -0.0887 eV per atom
! Energy ... -0.2825 Ry per atom

=====

Entry 2:
! PBE PmMg2Ga2Ni, relaxed; values from VASP
&SYSTEM
  ibrav = 0, nat = 6, ntyp = 4
/
ATOMIC_SPECIES
Pm 145.00 Pm.upf
Mg 24.30 Mg.upf
Ga 69.72 Ga.upf
Ni 58.69 Ni.upf
ATOMIC_POSITIONS angstrom
Pm 0.261 -3.564 -0.288
Mg 3.092 -1.674 1.215
Mg 0.070 -2.049 3.105
Ga 1.971 -3.658 2.428
Ga 1.191 -0.065 1.891
Ni 0.000 0.000 0.000
CELL_PARAMETERS angstrom
-2.761 -3.938 1.602
3.284 -3.189 -2.178
2.640 3.404 4.895
! Calculated formation energy ... 0.1152 eV per atom
! Energy ... -0.2338 Ry per atom

=====

Entry 3:
! PBE PrMgGaNi, relaxed; values from VASP
&SYSTEM
  ibrav = 0, nat = 4, ntyp = 4
/
ATOMIC_SPECIES
Pr 140.91 Pr.upf
Ni 58.69 Ni.upf
Mg 24.30 Mg.upf
Ga 69.72 Ga.upf
ATOMIC_POSITIONS angstrom
Pr -2.375 0.157 1.779
Ni -4.749 0.313 3.557
Mg -7.124 0.470 5.336
Ga 0.000 0.000 0.000
CELL_PARAMETERS angstrom
-3.606 2.851 1.552
-4.354 -1.908 0.973
-1.539 -0.317 4.590
! Calculated formation energy ... -0.2964 eV per atom
! Energy ... -0.3008 Ry per atom

=====

Entry 4:
! PBE PrMg2GaNi2, relaxed; values from VASP
&SYSTEM
  ibrav = 0, nat = 6, ntyp = 4
/
ATOMIC_SPECIES
Pr 140.91 Pr.upf
Mg 24.30 Mg.upf
Ga 69.72 Ga.upf
Ni 58.69 Ni.upf
ATOMIC_POSITIONS angstrom
Pr 1.632 -2.738 -1.439
Mg 0.343 -3.004 1.854
Mg -1.863 -2.894 -0.857
Ga 0.000 0.000 0.000
Ni -0.113 -4.487 -0.090
Ni -1.407 -1.411 1.088
CELL_PARAMETERS angstrom
-0.574 -2.628 -4.150
3.838 -2.848 1.272
-4.784 -0.422 3.876
! Calculated formation energy ... -0.1043 eV per atom
! Energy ... -0.2840 Ry per atom

=====

Entry 5:
! PBE PrMgGa2Ni2, relaxed; values from VASP
&SYSTEM
  ibrav = 0, nat = 6, ntyp = 4
/
ATOMIC_SPECIES
Pr 140.91 Pr.upf
Mg 24.30 Mg.upf
Ga 69.72 Ga.upf
Ni 58.69 Ni.upf
ATOMIC_POSITIONS angstrom
Pr 0.000 0.000 0.000
Mg -1.307 2.802 1.569
Ga -4.000 3.625 1.109
Ga -2.466 0.224 1.956
Ni -3.048 1.584 -0.034
Ni -3.418 2.265 3.099
CELL_PARAMETERS angstrom
-2.563 0.656 -3.306
-1.290 -2.412 3.232
-2.614 5.604 3.138
! Calculated formation energy ... -0.4751 eV per atom
! Energy ... -0.3288 Ry per atom

=====

Entry 6:
! PBE Pu2MgGa4Ni3, relaxed; values from VASP
&SYSTEM
  ibrav = 0, nat = 10, ntyp = 4
/
ATOMIC_SPECIES
Pu 244.00 Pu.upf
Mg 24.30 Mg.upf
Ga 69.72 Ga.upf
Ni 58.69 Ni.upf
ATOMIC_POSITIONS angstrom
Pu -2.725 -1.505 -0.882
Pu -5.609 -6.051 2.980
Mg -4.036 -4.734 0.021
Ga 0.262 -1.912 -2.056
Ga 0.000 0.000 0.000
Ga -6.350 -3.885 0.870
Ga -1.984 -3.671 1.228
Ni -4.298 -2.822 2.077
Ni -8.215 -5.109 1.771
Ni -0.119 -2.447 0.327
CELL_PARAMETERS angstrom
-1.501 -0.417 -3.672
2.025 -3.408 -0.441
-8.596 -5.644 4.154
! Calculated formation energy ... -0.3188 eV per atom
! Energy ... -0.4623 Ry per atom

=====

Entry 7:
! PBE PuMgGaNi, relaxed; values from VASP
&SYSTEM
  ibrav = 0, nat = 4, ntyp = 4
/
ATOMIC_SPECIES
Ni 58.69 Ni.upf
Mg 24.30 Mg.upf
Ga 69.72 Ga.upf
Pu 244.00 Pu.upf
ATOMIC_POSITIONS angstrom
Ni -1.377 -1.970 1.620
Mg 0.000 0.000 0.000
Ga -4.130 -5.909 4.859
Pu -2.753 -3.939 3.240
CELL_PARAMETERS angstrom
-3.059 -0.622 3.557
-3.016 -3.645 -0.083
0.569 -3.611 3.005
! Calculated formation energy ... -0.1471 eV per atom
! Energy ... -0.4653 Ry per atom

=====

Entry 8:
! PBE Mg3Ga3NiRh2, relaxed; values from VASP
&SYSTEM
  ibrav = 0, nat = 9, ntyp = 4
/
ATOMIC_SPECIES
Mg 24.30 Mg.upf
Ga 69.72 Ga.upf
Ni 58.69 Ni.upf
Rh 102.91 Rh.upf
ATOMIC_POSITIONS angstrom
Mg 1.492 5.273 0.000
Mg 1.492 -2.637 4.567
Mg 1.492 1.026 1.777
Ga 0.000 2.294 3.973
Ga 0.000 -1.369 2.371
Ga 0.000 2.738 0.000
Ni 0.000 0.000 0.000
Rh 1.492 3.663 2.115
Rh 1.492 0.000 4.229
CELL_PARAMETERS angstrom
2.984 0.000 0.000
0.000 7.325 0.000
0.000 -3.663 6.344
! Calculated formation energy ... -0.3786 eV per atom
! Energy ... -0.3083 Ry per atom